Below is a relaxed CeHo2Pb9 crystal, with properties calculated at the PBE-GGA level.

It has space group P4/mmm (No. 123), with a = 4.896 Å, b = 4.896 Å, c = 14.646 Å, α = 90.00°, β = 90.00° and γ = 90.00°. Symmetry generates all atoms from Ce at (0.000, 0.000, 0.000), Ho at (0.000, 0.000, 0.329), Pb at (0.000, 0.500, 0.168), Pb at (0.000, 0.500, 0.500), Pb at (0.500, 0.500, 0.000) and Pb at (0.500, 0.500, 0.335).

The formation energy comes out at -6.67 kcal/mol of atoms. As for the energy: -4.33 eV per atom. As for the volume: 29.3 A^3/atom. Its spin magnetization is 1.04 μB/f.u.



Below is a relaxed Ce5HoPb3 crystal, with properties calculated at the PBE-GGA level.

It has space group P6_3/mcm (No. 193), with a = 9.6093 Å, b = 9.6093 Å, c = 6.7021 Å, α = 90.00°, β = 90.00° and γ = 120.00°. Symmetry generates all atoms from Ce at (0.0000, 0.3399, 0.2500), Ce at (0.3333, 0.6667, 0.0000), Ho at (0.0000, 0.0000, 0.0000) and Pb at (0.0000, 0.3259, 0.7500).

The formation energy comes out at -7.07 kcal/mol of atoms. As for the energy: -5.35 eV per atom. As for the volume: 29.8 A^3/atom. Its spin magnetization is 8.48 μB/f.u.



Below is a relaxed Ce5HoPb6 crystal, with properties calculated at the PBE-GGA level.

It has space group C2/m (No. 12), with a = 18.744 Å, b = 6.700 Å, c = 5.927 Å, α = 90.00°, β = 108.31° and γ = 90.00°. Symmetry generates all atoms from Ce at (0.000, 0.000, 0.000), Ce at (0.165, 0.500, 0.665), Ce at (0.168, 0.000, 0.668), Ho at (0.000, 0.500, 0.000), Pb at (0.000, 0.253, 0.500) and Pb at (0.165, 0.252, 0.166).

The formation energy comes out at -9.09 kcal/mol of atoms. As for the energy: -5.10 eV per atom. As for the volume: 29.4 A^3/atom. Its spin magnetization is 6.05 μB/f.u.



Below is a relaxed Ce2HoPb2 crystal, with properties calculated at the PBE-GGA level.

It has space group Cmmm (No. 65), with a = 5.110 Å, b = 15.913 Å, c = 4.126 Å, α = 90.00°, β = 90.00° and γ = 90.00°. Symmetry generates all atoms from Ce at (0.000, 0.178, 0.000), Ho at (0.000, 0.500, 0.000) and Pb at (0.000, 0.352, 0.500).

The formation energy comes out at -3.71 kcal/mol of atoms. As for the energy: -4.93 eV per atom. As for the volume: 33.6 A^3/atom. Its spin magnetization is 3.01 μB/f.u.



Below is a relaxed Ce3HoPb5 crystal, with properties calculated at the PBE-GGA level.

It has space group P6_3/mcm (No. 193), with a = 9.6164 Å, b = 9.6164 Å, c = 6.6405 Å, α = 90.00°, β = 90.00° and γ = 120.00°. Symmetry generates all atoms from Ce at (0.0000, 0.3833, 0.2500), Ho at (0.0000, 0.0000, 0.0000), Pb at (0.0000, 0.2823, 0.7500) and Pb at (0.3333, 0.6667, 0.0000).

The formation energy comes out at -9.77 kcal/mol of atoms. As for the energy: -4.97 eV per atom. As for the volume: 29.5 A^3/atom. Its spin magnetization is 1.95 μB/f.u.



Below is a relaxed Ce3Ho2Pb6 crystal, with properties calculated at the PBE-GGA level.

It has space group I4/mmm (No. 139), with a = 5.947 Å, b = 5.947 Å, c = 22.158 Å, α = 90.00°, β = 90.00° and γ = 90.00°. Symmetry generates all atoms from Ce at (0.000, 0.000, 0.000), Ce at (0.000, 0.000, 0.146), Ho at (0.000, 0.000, 0.425), Pb at (0.000, 0.000, 0.290) and Pb at (0.000, 0.500, 0.075).

The formation energy comes out at -1.66 kcal/mol of atoms. As for the energy: -4.55 eV per atom. As for the volume: 35.6 A^3/atom. Its spin magnetization is 2.85 μB/f.u.



Q: What is the energy in the second record?
A: -5.35 eV per atom



Q: What is the formula in the fourth record?
A: Ce2HoPb2



Q: What is the formula in the third record?
A: Ce5HoPb6



Q: What is the formula in the fifth record?
A: Ce3HoPb5